1.
# PmThFePd | Alexandria | PBE | optimized geometry
# Total magnetic moment in μB per formula unit: 0.959
# DFT formation energy in eV/atom: -0.219
# N(E_F) in states/eV per cell: 16.8
# Energy in eV per atom: -6.675
data_PmThFePd
_chemical_formula_sum 'Pm4 Th4 Fe4 Pd4'
_cell_length_a 7.103
_cell_length_b 7.103
_cell_length_c 7.103
_cell_angle_alpha 90.00
_cell_angle_beta 90.00
_cell_angle_gamma 90.00
_space_group_name_H-M_alt 'F -4 3 m'
_space_group_IT_number 216
_space_group_name_Hall 'F -4 2 3'
loop_
_atom_site_label
_atom_site_type_symbol
_atom_site_fract_x
_atom_site_fract_y
_atom_site_fract_z
_atom_site_occupancy
Pm1 Pm 0.000 0.000 0.000 1
Th1 Th 0.000 0.000 0.500 1
Fe1 Fe 0.250 0.250 0.250 1
Pd1 Pd 0.250 0.250 0.750 1


2.
# MgSb2P2 | Alexandria | PBE | optimized geometry
# E_form (uncorrected) in eV per atom: 0.141
# Total magnetic moment in μB per formula unit: 0.000
# N(E_F) in states/eV per cell: 2.1
# Energy in eV per atom: -3.991
# Energy above the lowest structure with this stoichiometry in meV per atom: 13.5
data_MgSb2P2
_chemical_formula_sum 'Mg1 Sb2 P2'
_cell_length_a 4.9187
_cell_length_b 4.9187
_cell_length_c 6.1598
_cell_angle_alpha 90.00
_cell_angle_beta 90.00
_cell_angle_gamma 120.00
_space_group_name_H-M_alt 'P -3 m 1'
_space_group_IT_number 164
_space_group_name_Hall '-P 3 2"'
loop_
_atom_site_label
_atom_site_type_symbol
_atom_site_fract_x
_atom_site_fract_y
_atom_site_fract_z
_atom_site_occupancy
Mg1 Mg 0.0000 0.0000 0.0000 1
Sb1 Sb 0.3333 0.6667 0.2496 1
P1 P 0.3333 0.6667 0.8340 1


3.
# CeErIrRh | Alexandria | PBE | optimized geometry
# Total magnetic moment in μB per formula unit: 0.464
# DFT formation energy in eV/atom: -0.781
# N(E_F) in states/eV per cell: 20.9
# Energy in eV per atom: -7.459
data_CeErIrRh
_chemical_formula_sum 'Ce4 Er4 Ir4 Rh4'
_cell_length_a 6.903
_cell_length_b 6.903
_cell_length_c 6.903
_cell_angle_alpha 90.00
_cell_angle_beta 90.00
_cell_angle_gamma 90.00
_space_group_name_H-M_alt 'F -4 3 m'
_space_group_IT_number 216
_space_group_name_Hall 'F -4 2 3'
loop_
_atom_site_label
_atom_site_type_symbol
_atom_site_fract_x
_atom_site_fract_y
_atom_site_fract_z
_atom_site_occupancy
Ce1 Ce 0.000 0.000 0.000 1
Er1 Er 0.000 0.000 0.500 1
Ir1 Ir 0.250 0.250 0.750 1
Rh1 Rh 0.250 0.250 0.250 1


4.
# BeH2Cl2 | Alexandria | PBE | optimized geometry
# Total magnetic moment in μB per formula unit: 0.000
# N(E_F) in states/eV per cell: 0.0
# Energy in eV per atom: -2.866
# Energy above the lowest structure with this stoichiometry in meV per atom: 0.0
data_BeH2Cl2
_chemical_formula_sum 'Be2 H4 Cl4'
_cell_length_a 4.358
_cell_length_b 4.358
_cell_length_c 6.195
_cell_angle_alpha 90.00
_cell_angle_beta 90.00
_cell_angle_gamma 90.00
_space_group_name_H-M_alt 'I 4/m m m'
_space_group_IT_number 139
_space_group_name_Hall '-I 4 2'
loop_
_atom_site_label
_atom_site_type_symbol
_atom_site_fract_x
_atom_site_fract_y
_atom_site_fract_z
_atom_site_occupancy
Be1 Be 0.000 0.000 0.000 1
H1 H 0.000 0.000 0.440 1
Cl1 Cl 0.000 0.500 0.250 1


5.
# CdAg2Au | Alexandria | PBE | optimized geometry
# Total magnetic moment in μB per formula unit: 0.000
# DFT formation energy in eV/atom: -0.074
# N(E_F) in states/eV per cell: 0.8
# Energy in eV per atom: -2.548
data_CdAg2Au
_chemical_formula_sum 'Cd1 Ag2 Au1'
_cell_length_a 3.128
_cell_length_b 3.924
_cell_length_c 6.080
_cell_angle_alpha 90.00
_cell_angle_beta 90.89
_cell_angle_gamma 90.00
_space_group_name_H-M_alt 'P 1 m 1'
_space_group_IT_number 6
_space_group_name_Hall 'P -2y'
loop_
_atom_site_label
_atom_site_type_symbol
_atom_site_fract_x
_atom_site_fract_y
_atom_site_fract_z
_atom_site_occupancy
Cd1 Cd 0.000 0.000 0.000 1
Ag1 Ag 0.000 0.000 0.502 1
Ag2 Ag 0.501 0.500 0.744 1
Au1 Au 0.499 0.500 0.252 1


6.
# InCoS3 | Alexandria | PBE | optimized geometry
# E_form (uncorrected) in eV per atom: 0.173
# Total magnetic moment in μB per formula unit: 0.790
# N(E_F) in states/eV per cell: 6.1
# Energy in eV per atom: -4.272
# Energy above the lowest structure with this stoichiometry in meV per atom: 0.0
data_InCoS3
_chemical_formula_sum 'In1 Co1 S3'
_cell_length_a 4.506
_cell_length_b 4.506
_cell_length_c 4.506
_cell_angle_alpha 90.00
_cell_angle_beta 90.00
_cell_angle_gamma 90.00
_space_group_name_H-M_alt 'P m -3 m'
_space_group_IT_number 221
_space_group_name_Hall '-P 4 2 3'
loop_
_atom_site_label
_atom_site_type_symbol
_atom_site_fract_x
_atom_site_fract_y
_atom_site_fract_z
_atom_site_occupancy
In1 In 0.000 0.000 0.000 1
Co1 Co 0.500 0.500 0.500 1
S1 S 0.000 0.500 0.500 1


What is the formula in the third record?
CeErIrRh


Repeat the third record exactly.
# CeErIrRh | Alexandria | PBE | optimized geometry
# Total magnetic moment in μB per formula unit: 0.464
# DFT formation energy in eV/atom: -0.781
# N(E_F) in states/eV per cell: 20.9
# Energy in eV per atom: -7.459
data_CeErIrRh
_chemical_formula_sum 'Ce4 Er4 Ir4 Rh4'
_cell_length_a 6.903
_cell_length_b 6.903
_cell_length_c 6.903
_cell_angle_alpha 90.00
_cell_angle_beta 90.00
_cell_angle_gamma 90.00
_space_group_name_H-M_alt 'F -4 3 m'
_space_group_IT_number 216
_space_group_name_Hall 'F -4 2 3'
loop_
_atom_site_label
_atom_site_type_symbol
_atom_site_fract_x
_atom_site_fract_y
_atom_site_fract_z
_atom_site_occupancy
Ce1 Ce 0.000 0.000 0.000 1
Er1 Er 0.000 0.000 0.500 1
Ir1 Ir 0.250 0.250 0.750 1
Rh1 Rh 0.250 0.250 0.250 1